Density functional theory data (PBE) for crystalline Li2Pr3Pd6 at its relaxed geometry.

Cell lengths 8.3744, 8.3744, 8.3744 Å; angles 109.47, 109.47, 109.47 degrees
With the nearest neighbours (Å) after each atom.
Fractional positions:
Pd 0.6658 0.0000 0.3342  2 Li 2.68, 4 Pd 2.79, 2 Pr 2.96
Pd 0.0000 0.6658 0.3342  2 Li 2.68, 4 Pd 2.79, 2 Pr 2.96
Pd 0.6658 0.6658 0.3315  2 Li 2.68, 4 Pd 2.79, 2 Pr 2.96
Pd 0.6658 0.3315 0.6658  2 Li 2.68, 4 Pd 2.79, 2 Pr 2.96
Pd 0.3342 0.3342 0.6685  2 Li 2.68, 4 Pd 2.79, 2 Pr 2.96
Pd 0.3342 0.6685 0.3342  2 Li 2.68, 4 Pd 2.79, 2 Pr 2.96
Pd 0.3342 0.6658 0.0000  2 Li 2.68, 4 Pd 2.79, 2 Pr 2.96
Pd 0.6658 0.3342 0.0000  2 Li 2.68, 4 Pd 2.79, 2 Pr 2.96
Pd 0.6685 0.3342 0.3342  2 Li 2.68, 4 Pd 2.79, 2 Pr 2.96
Pd 0.3342 0.0000 0.6658  2 Li 2.68, 4 Pd 2.79, 2 Pr 2.96
Pd 0.0000 0.3342 0.6658  2 Li 2.68, 4 Pd 2.79, 2 Pr 2.96
Pd 0.3315 0.6658 0.6658  2 Li 2.68, 4 Pd 2.79, 2 Pr 2.96
Li 0.5000 0.0000 0.0000  6 Pd 2.68
Li 0.0000 0.5000 0.0000  6 Pd 2.68
Li 0.0000 0.0000 0.5000  6 Pd 2.68
Li 0.5000 0.5000 0.5000  6 Pd 2.68
Pr 0.6973 0.0000 0.6973  8 Pd 2.96-3.25
Pr 0.3027 0.0000 0.3027  8 Pd 2.96-3.25
Pr 0.0000 0.6973 0.6973  8 Pd 2.96-3.25
Pr 0.3027 0.3027 0.0000  8 Pd 2.96-3.25
Pr 0.6973 0.6973 0.0000  8 Pd 2.96-3.25
Pr 0.0000 0.3027 0.3027  8 Pd 2.96-3.25

Calculated values
* formation energy from the elements: -706.3 kJ/mol of formula units



Density functional theory data (PBE) for crystalline Ba3In5Se12 at its relaxed geometry.

Cell lengths 14.9534, 14.9534, 14.9534 Å; angles 109.47, 109.47, 109.47 degrees
With the nearest neighbours (Å) after each atom.
Fractional positions:
Se 0.0874 0.9107 0.1171  2 In 2.63-2.78
Se 0.7064 0.5893 0.1767  2 In 2.63-2.78
Se 0.1171 0.7064 0.5297  2 In 2.63-2.78
Se 0.1767 0.0874 0.9703  2 In 2.63-2.78
Se 0.0874 0.1767 0.4703  2 In 2.63-2.78
Se 0.7936 0.3233 0.9107  2 In 2.63-2.78
Se 0.9107 0.0874 0.6171  2 In 2.63-2.78
Se 0.3233 0.7936 0.4107  2 In 2.63-2.78
Se 0.5893 0.7064 0.6767  2 In 2.63-2.78
Se 0.6171 0.0297 0.2064  2 In 2.63-2.78
Se 0.2936 0.4107 0.8233  2 In 2.63-2.78
Se 0.4703 0.6767 0.0874  2 In 2.63-2.78
Se 0.0297 0.4126 0.8233  2 In 2.63-2.78
Se 0.5297 0.2064 0.1171  2 In 2.63-2.78
Se 0.9703 0.5874 0.1767  2 In 2.63-2.78
Se 0.9703 0.3829 0.2936  2 In 2.63-2.78
Se 0.2064 0.5297 0.6171  2 In 2.63-2.78
Se 0.2064 0.6767 0.0893  2 In 2.63-2.78
Se 0.2936 0.8829 0.9703  2 In 2.63-2.78
Se 0.1767 0.0893 0.7064  2 In 2.63-2.78
Se 0.0893 0.1767 0.2064  2 In 2.63-2.78
Se 0.9107 0.8233 0.7936  2 In 2.63-2.78
Se 0.0297 0.6171 0.7064  2 In 2.63-2.78
Se 0.4107 0.2936 0.3233  2 In 2.63-2.78
Se 0.8829 0.2936 0.4703  2 In 2.63-2.78
Se 0.3829 0.9703 0.7936  2 In 2.63-2.78
Se 0.9126 0.8233 0.5297  2 In 2.63-2.78
Se 0.3829 0.4126 0.0893  2 In 2.63-2.78
Se 0.4126 0.0297 0.3233  2 In 2.63-2.78
Se 0.4703 0.7936 0.8829  2 In 2.63-2.78
Se 0.6767 0.2064 0.5893  2 In 2.63-2.78
Se 0.4126 0.3829 0.5893  2 In 2.63-2.78
Se 0.5893 0.8829 0.4126  2 In 2.63-2.78
Se 0.3233 0.5297 0.4126  2 In 2.63-2.78
Se 0.6171 0.5874 0.9107  2 In 2.63-2.78
Se 0.8233 0.9126 0.0297  2 In 2.63-2.78
Se 0.8829 0.5893 0.9126  2 In 2.63-2.78
Se 0.5874 0.6171 0.4107  2 In 2.63-2.78
Se 0.5297 0.3233 0.9126  2 In 2.63-2.78
Se 0.7936 0.4703 0.3829  2 In 2.63-2.78
Se 0.9126 0.0893 0.8829  2 In 2.63-2.78
Se 0.6767 0.4703 0.5874  2 In 2.63-2.78
Se 0.7064 0.1171 0.0297  2 In 2.63-2.78
Se 0.0893 0.9126 0.3829  2 In 2.63-2.78
Se 0.5874 0.9703 0.6767  2 In 2.63-2.78
Se 0.1171 0.4107 0.0874  2 In 2.63-2.78
Se 0.4107 0.1171 0.5874  2 In 2.63-2.78
Se 0.8233 0.9107 0.2936  2 In 2.63-2.78
Ba 0.7500 0.8750 0.6250  8 Se 3.35-3.37
Ba 0.8750 0.7500 0.1250  8 Se 3.35-3.37
Ba 0.8750 0.1250 0.2500  8 Se 3.35-3.37
Ba 0.2500 0.6250 0.8750  8 Se 3.35-3.37
Ba 0.3750 0.6250 0.2500  8 Se 3.35-3.37
Ba 0.1250 0.8750 0.7500  8 Se 3.35-3.37
Ba 0.2500 0.1250 0.3750  8 Se 3.35-3.37
Ba 0.3750 0.7500 0.6250  8 Se 3.35-3.37
Ba 0.6250 0.2500 0.3750  8 Se 3.35-3.37
Ba 0.1250 0.2500 0.8750  8 Se 3.35-3.37
Ba 0.7500 0.3750 0.1250  8 Se 3.35-3.37
Ba 0.6250 0.3750 0.7500  8 Se 3.35-3.37
In 0.5000 0.0000 0.5000  6 Se 2.78
In 0.0000 0.0000 0.0000  6 Se 2.78
In 0.0000 0.5000 0.0000  6 Se 2.78
In 0.6250 0.7500 0.8750  4 Se 2.63
In 0.7500 0.1250 0.8750  4 Se 2.63
In 0.0000 0.5000 0.5000  6 Se 2.78
In 0.7500 0.6250 0.3750  4 Se 2.63
In 0.2500 0.3750 0.6250  4 Se 2.63
In 0.8750 0.2500 0.6250  4 Se 2.63
In 0.0000 0.0000 0.5000  6 Se 2.78
In 0.5000 0.5000 0.5000  6 Se 2.78
In 0.3750 0.1250 0.7500  4 Se 2.63
In 0.8750 0.6250 0.7500  4 Se 2.63
In 0.5000 0.5000 0.0000  6 Se 2.78
In 0.2500 0.8750 0.1250  4 Se 2.63
In 0.5000 0.0000 0.0000  6 Se 2.78
In 0.6250 0.8750 0.2500  4 Se 2.63
In 0.3750 0.2500 0.1250  4 Se 2.63
In 0.1250 0.7500 0.3750  4 Se 2.63
In 0.1250 0.3750 0.2500  4 Se 2.63

Calculated values
* E_form (uncorrected): -0.8289 eV/atom



Density functional theory data (PBE) for crystalline SnAsPd at its relaxed geometry.

Cell lengths 3.7345, 3.7345, 5.0237 Å; angles 111.82, 111.82, 90.00 degrees
With the nearest neighbours (Å) after each atom.
Fractional positions:
Sn 0.6154 0.6154 0.2308  5 As 2.80-3.02, 5 Pd 2.83-3.01
As 0.2877 0.2877 0.5755  5 Sn 2.80-3.02, 5 Pd 2.91-2.97
Pd 0.9469 0.9469 0.8937  5 Sn 2.83-3.01, 5 As 2.91-2.97

Calculated values
* offset from the most stable computed form: 275 meV/atom
* formation energy from the elements: -21.7 kJ/mol of formula units



Density functional theory data (PBE) for crystalline YHoZr at its relaxed geometry.

Cell lengths 3.4076, 3.4076, 7.7229 Å; angles 102.75, 102.75, 90.00 degrees
With the nearest neighbours (Å) after each atom.
Fractional positions:
Zr 0.3321 0.3321 0.6642  4 Ho 3.30, 4 Y 3.34, 4 Zr 3.41
Ho 0.6781 0.6781 0.3563  4 Zr 3.30, 4 Ho 3.41, 4 Y 3.67
Y 0.9897 0.9897 0.9795  4 Zr 3.34, 4 Y 3.41, 4 Ho 3.67

Calculated values
* offset from the most stable computed form: 0 meV/atom
* formation energy from the elements: 22.9 kJ/mol of formula units



Number 1: calculated total energy -5.149 eV per atom. Number 2: calculated total energy -3.893 eV per atom. Number 3: calculated total energy -4.690 eV per atom. Number 4: calculated total energy -6.451 eV per atom.